A relaxed structure of CeNd4Cd3. Source: the Alexandria database, functional GGA-PBE.

Values from the calculation:
ΔE_f = -0.209 eV/atom
Density = 7.46 Mg/m³
DOS(E_F) = 1.279 states/eV/atom

a b c (Å): 3.754 3.754 16.659
angles (deg): 90.00 90.00 90.00
Fractional coordinates of all 8 atoms:
Ce (0.000, 0.000, 0.000)
Nd (0.500, 0.500, 0.139)
Nd (0.500, 0.500, 0.381)
Nd (0.500, 0.500, 0.619)
Nd (0.500, 0.500, 0.861)
Cd (0.000, 0.000, 0.259)
Cd (0.000, 0.000, 0.500)
Cd (0.000, 0.000, 0.741)